ThSiIrRu: optimized geometry, PBE-GGA.

Results
E: -8.240 eV per atom
Raw formation energy: -0.495 eV per atom
Crystal system: orthorhombic

The structure in CIF format:
```
data_ThSiIrRu
_chemical_formula_sum 'Th2 Si2 Ir2 Ru2'
_cell_length_a 4.3840
_cell_length_b 3.8752
_cell_length_c 9.0444
_cell_angle_alpha 90.00
_cell_angle_beta 90.00
_cell_angle_gamma 90.00
_space_group_name_H-M_alt 'A m m 2'
_space_group_IT_number 38
loop_
_space_group_symop_operation_xyz
'x,y,z'
'-x,-y,z'
'-x,y,z'
'x,-y,z'
'x,y+1/2,z+1/2'
'-x,-y+1/2,z+1/2'
'-x,y+1/2,z+1/2'
'x,-y+1/2,z+1/2'
loop_
_atom_site_label
_atom_site_fract_x
_atom_site_fract_y
_atom_site_fract_z
_atom_site_occupancy
Th1 0.0000 0.0000 0.0000 1
Si1 0.5000 0.0000 0.6111 1
Ir1 0.5000 0.0000 0.2725 1
Ru1 0.0000 0.0000 0.7258 1
```